(1)
A relaxed HfOs2W crystal, computed with PBE-GGA.

Calculated values
The calculation puts the total DFT energy (no corrections) at -10.809 eV per atom. Its space group is I-42d, No. 122.

abc: 7.208 7.208 5.806
angles: 51.63 51.63 90.00
Fractional positions:
1 Hf 0.500 0.500 0.000
2 Hf 0.250 0.750 0.500
3 Os 0.875 0.906 0.750
4 Os 0.375 0.344 0.750
5 Os 0.656 0.125 0.250
6 Os 0.094 0.625 0.250
7 W 0.750 0.250 0.500
8 W 0.000 0.000 0.000

---

(2)
A relaxed Hf2OsW crystal, computed with PBE-GGA.

Calculated values
The calculation puts the total DFT energy (no corrections) at -11.299 eV per atom. Its space group is P4/mmm, No. 123.

abc: 3.268 3.268 6.691
angles: 90.00 90.00 90.00
Fractional positions:
1 Hf 0.000 0.000 0.757
2 Hf 0.000 0.000 0.243
3 W 0.500 0.500 0.500
4 Os 0.500 0.500 0.000

---

(3)
A relaxed Hf2OsW crystal, computed with PBE-GGA.

Calculated values
The calculation puts the total DFT energy (no corrections) at -11.285 eV per atom. Its space group is P4/mmm, No. 123.

abc: 3.263 4.662 4.662
angles: 90.00 90.00 90.00
Fractional positions:
1 Os 0.500 0.000 0.000
2 Hf 0.000 0.000 0.500
3 Hf 0.000 0.500 0.000
4 W 0.500 0.500 0.500

---

(4)
A relaxed Hf3OsW crystal, computed with PBE-GGA.

Calculated values
Its space group is Pm-3m, No. 221. For the energy above the lowest structure with this stoichiometry, the calculation gives 0.0000 eV/atom.

abc: 4.925 4.925 4.925
angles: 90.00 90.00 90.00
Site moments in Bohr magnetons follow the coordinates.
Fractional positions:
1 W 0.500 0.500 0.500  1.24
2 Hf 0.000 0.000 0.500  -0.06
3 Hf 0.000 0.500 0.000  -0.10
4 Hf 0.500 0.000 0.000  -0.15
5 Os 0.000 0.000 0.000  0.08

---

(5)
A relaxed HfOsW2 crystal, computed with PBE-GGA.

Calculated values
Its space group is Fm-3m, No. 225. For the energy above the lowest structure with this stoichiometry, the calculation gives 0.0000 eV/atom.

abc: 4.533 4.533 4.533
angles: 60.00 60.00 60.00
Fractional positions:
1 W 0.750 0.750 0.750
2 W 0.250 0.250 0.250
3 Os 0.500 0.500 0.500
4 Hf 0.000 0.000 0.000

---

(6)
A relaxed HfOsW2 crystal, computed with PBE-GGA.

Calculated values
Its space group is I-42d, No. 122. For the energy above the lowest structure with this stoichiometry, the calculation gives 0.5419 eV/atom.

abc: 7.496 7.496 5.930
angles: 50.80 50.80 90.00
Fractional positions:
1 Hf 0.250 0.750 0.500
2 Hf 0.500 0.500 0.000
3 W 0.875 0.913 0.750
4 W 0.663 0.125 0.250
5 W 0.375 0.337 0.750
6 W 0.087 0.625 0.250
7 Os 0.750 0.250 0.500
8 Os 0.000 0.000 0.000

---

(7)
A relaxed YHf2Os2 crystal, computed with PBE-GGA.

Calculated values
Its space group is P4/mbm, No. 127. For the energy above the lowest structure with this stoichiometry, the calculation gives 0.0519 eV/atom.

abc: 7.870 7.870 3.228
angles: 90.00 90.00 90.00
Fractional positions:
1 Hf 0.355 0.145 0.500
2 Hf 0.855 0.355 0.500
3 Hf 0.145 0.645 0.500
4 Hf 0.645 0.855 0.500
5 Os 0.353 0.853 0.000
6 Os 0.647 0.147 0.000
7 Os 0.147 0.353 0.000
8 Os 0.853 0.647 0.000
9 Y 0.000 0.000 0.000
10 Y 0.500 0.500 0.000

---

(8)
A relaxed YHf2Os2 crystal, computed with PBE-GGA.

Calculated values
Its space group is P4/mbm, No. 127. For the energy above the lowest structure with this stoichiometry, the calculation gives 0.1614 eV/atom.

abc: 8.002 8.002 3.071
angles: 90.00 90.00 90.00
Fractional positions:
1 Hf 0.863 0.637 0.000
2 Hf 0.137 0.363 0.000
3 Hf 0.363 0.863 0.000
4 Hf 0.637 0.137 0.000
5 Y 0.000 0.000 0.000
6 Y 0.500 0.500 0.000
7 Os 0.843 0.343 0.500
8 Os 0.657 0.843 0.500
9 Os 0.157 0.657 0.500
10 Os 0.343 0.157 0.500

---

(9)
A relaxed YHfOs2 crystal, computed with PBE-GGA.

Calculated values
The calculation puts the total DFT energy (no corrections) at -9.323 eV per atom. Its space group is I-42d, No. 122.

abc: 7.412 7.412 5.984
angles: 51.73 51.73 90.00
Fractional positions:
1 Os 0.107 0.625 0.250
2 Os 0.643 0.125 0.250
3 Os 0.375 0.357 0.750
4 Os 0.875 0.893 0.750
5 Y 0.250 0.750 0.500
6 Y 0.500 0.500 0.000
7 Hf 0.750 0.250 0.500
8 Hf 0.000 0.000 0.000

---

(10)
A relaxed YHfOs crystal, computed with PBE-GGA.

Calculated values
The calculation puts the total DFT energy (no corrections) at -9.536 eV per atom. Its space group is P-62m, No. 189.

abc: 7.117 8.406 8.406
angles: 64.33 64.96 64.96
Fractional positions:
1 Os 0.257 0.250 0.750
2 Os 0.590 0.667 0.667
3 Os 0.923 0.833 0.833
4 Os 0.257 0.750 0.250
5 Os 0.590 0.167 0.167
6 Os 0.923 0.333 0.333
7 Hf 0.508 0.000 0.000
8 Hf 0.257 0.375 0.375
9 Hf 0.508 0.500 0.500
10 Hf 0.006 0.625 0.625
11 Hf 0.006 0.125 0.125
12 Hf 0.257 0.875 0.875
13 Y 0.257 0.460 0.960
14 Y 0.837 0.750 0.250
15 Y 0.257 0.960 0.460
16 Y 0.677 0.040 0.540
17 Y 0.677 0.540 0.040
18 Y 0.837 0.250 0.750

---

(11)
A relaxed YHfOs2 crystal, computed with PBE-GGA.

Calculated values
The calculation puts the total DFT energy (no corrections) at -10.090 eV per atom. Its space group is P4/mmm, No. 123.

abc: 3.307 3.307 6.776
angles: 90.00 90.00 90.00
Fractional positions:
1 Os 0.000 0.000 0.771
2 Os 0.000 0.000 0.229
3 Y 0.500 0.500 0.500
4 Hf 0.500 0.500 0.000

---

(12)
A relaxed Y2HfOs2 crystal, computed with PBE-GGA.

Calculated values
The calculation puts the total DFT energy (no corrections) at -9.297 eV per atom. Its space group is P4/mbm, No. 127.

abc: 7.034 7.034 4.491
angles: 90.00 90.00 90.00
Fractional positions:
1 Y 0.678 0.822 0.500
2 Y 0.322 0.178 0.500
3 Y 0.822 0.322 0.500
4 Y 0.178 0.678 0.500
5 Hf 0.500 0.500 0.000
6 Hf 0.000 0.000 0.000
7 Os 0.624 0.124 0.000
8 Os 0.376 0.876 0.000
9 Os 0.876 0.624 0.000
10 Os 0.124 0.376 0.000